# PBE ThTeI3, relaxed
data_ThTeI3
_chemical_formula_sum 'Th8 Te8 I24'
_cell_length_a 7.982
_cell_length_b 17.179
_cell_length_c 15.532
_cell_angle_alpha 90.00
_cell_angle_beta 99.81
_cell_angle_gamma 90.00
_symmetry_space_group_name_H-M 'C 1 2/c 1'
_symmetry_Int_Tables_number 15
_symmetry_space_group_name_Hall '-C 2yc'
loop_
_atom_site_label
_atom_site_fract_x
_atom_site_fract_y
_atom_site_fract_z
Th1 0.090 0.065 0.139
Te1 0.162 0.187 0.299
I1 0.122 0.359 0.926
I2 0.154 0.094 0.542
I3 0.238 0.034 0.806
# Total DFT energy (no corrections) in eV/atom: -4.11
# Raw formation energy in eV/atom: -1.065